Ca8Al2Pb (PBE-GGA, relaxed); total magnetization = 0.000 μB/atom; energy relative to the elements = -2.199 eV/f.u.
1.0
5.0832 0.0000 -1.5470
-1.2347 7.1434 -4.0571
0.0769 0.5085 9.3773
Ca Al Pb
8 2 1
direct
0.6589 0.8785 0.3178
0.3411 0.5607 0.6822
0.1556 0.1556 0.3112
0.0000 0.3017 0.0000
0.8444 0.8444 0.6888
0.6589 0.4393 0.3178
0.3411 0.1215 0.6822
0.0000 0.6983 0.0000
0.1875 0.6875 0.3750
0.8125 0.3125 0.6250
0.5000 0.0000 0.0000



LaTm2Ga (PBE-GGA, relaxed); excess energy over the best structure of this formula in the dataset = 165.9 meV per atom; total magnetization = 0.000 μB/atom; energy relative to the elements = -0.477 eV/f.u.
1.0
4.8816 0.0000 0.0000
2.4408 4.2276 0.0000
2.4408 1.4092 5.8068
La Tm Ga
1 2 1
direct
0.4905 0.4905 0.5284
0.0469 0.0469 0.8594
0.2759 0.2759 0.1722
0.6867 0.6867 0.9400



Y2SnOs2 (PBE-GGA, relaxed); total magnetization = 0.000 μB/atom; energy relative to the elements = -1.161 eV/f.u.
1.0
7.0162 0.0000 0.0000
0.0000 7.0162 0.0000
0.0000 0.0000 4.4703
Y Os Sn
4 4 2
direct
0.1778 0.6778 0.5000
0.6778 0.8222 0.5000
0.8222 0.3222 0.5000
0.3222 0.1778 0.5000
0.3788 0.8788 0.0000
0.8788 0.6212 0.0000
0.6212 0.1212 0.0000
0.1212 0.3788 0.0000
0.0000 0.0000 0.0000
0.5000 0.5000 0.0000



Sr2YBeOs (PBE-GGA, relaxed); total magnetization = 0.408 μB/atom; energy relative to the elements = 10.102 eV/f.u.
1.0
6.1883 0.0000 0.0000
0.0000 4.5516 0.0000
0.0000 0.0000 6.1883
Y Sr Os Be
1 2 1 1
direct
0.0000 0.0000 0.0000
0.0000 0.0000 0.5000
0.5000 0.0000 0.0000
0.5000 0.5000 0.5000
0.0000 0.5000 0.0000



Rb2Na2GaAs2 (PBE-GGA, relaxed); total magnetization = 0.058 μB/atom; energy relative to the elements = -1.343 eV/f.u.
1.0
-4.0392 -0.9242 0.4802
-0.3093 -4.1573 7.5144
-3.2847 5.8965 1.8367
Rb Na Ga As
2 2 1 2
direct
0.1566 0.1995 0.4874
0.8434 0.8005 0.5126
0.2768 0.5775 0.8688
0.7232 0.4225 0.1312
0.0000 0.0000 0.0000
0.4474 0.1844 0.9207
0.5526 0.8156 0.0793



U4CoGe8 (PBE-GGA, relaxed); total magnetization = 0.286 μB/atom; energy relative to the elements = -3.045 eV/f.u.
1.0
4.0215 0.0000 0.0000
0.0000 4.1144 0.0000
0.0000 0.0000 15.4962
U Co Ge
4 1 8
direct
0.0000 0.0000 0.0959
0.0000 0.5000 0.6075
0.5000 0.5000 0.3953
0.5000 0.0000 0.8982
0.0000 0.0000 0.3100
0.0000 0.0000 0.4594
0.0000 0.5000 0.9376
0.5000 0.5000 0.0544
0.5000 0.0000 0.5688
0.0000 0.5000 0.2356
0.0000 0.0000 0.7522
0.5000 0.0000 0.2345
0.5000 0.5000 0.7534



ScMo2Ru (PBE-GGA, relaxed); excess energy over the best structure of this formula in the dataset = 87.3 meV per atom; total magnetization = 0.000 μB/atom; energy relative to the elements = -0.089 eV/f.u.
1.0
-4.1412 -2.4514 -2.0719
-2.3791 -4.6306 -0.5907
-3.5354 -0.8960 2.8877
Mo Ru Sc
2 1 1
direct
0.0152 0.0152 0.9851
0.7463 0.7463 0.7535
0.4906 0.4906 0.5095
0.2479 0.2479 0.2519



Cs2SrCaZn (PBE-GGA, relaxed); total magnetization = 0.000 μB/atom; energy relative to the elements = 3.105 eV/f.u.
1.0
8.3430 0.0000 0.0000
0.0000 7.6424 0.0000
0.0000 0.0000 8.3430
Cs Sr Zn Ca
2 1 1 1
direct
0.0000 0.0000 0.5000
0.5000 0.0000 0.0000
0.0000 0.5000 0.0000
0.5000 0.5000 0.5000
0.0000 0.0000 0.0000



| no. | theoretical density (g cm⁻³) |
| --- | --- |
| 1 | 2.74 |
| 2 | 7.57 |
| 3 | 10.22 |
| 4 | 4.41 |
| 5 | 3.23 |
| 6 | 10.31 |
| 7 | 8.62 |
| 8 | 1.43 |